Material: SiSe2BrN
Method: DFT, GGA-PBE
State: relaxed

Crystal system   tetragonal
E above lowest polymorph   0.000 eV/atom
Energy   -4.020 eV/atom
Raw formation energy   0.46 eV per atom

Cell: 5.367 5.367 3.266 Å, 90.00 90.00 90.00°
Fractional coordinates of all 5 atoms:
Si 0.000 0.000 0.000
Se 0.000 0.500 0.000
Se 0.500 0.000 0.000
Br 0.500 0.500 0.500
N 0.000 0.000 0.500